Material: SiSb2PRu
Method: DFT, PBE-GGA
State: optimized geometry

The structure in POSCAR format:
```
SiSb2PRu
1.0
5.1290 0.0000 0.0000
0.0000 5.1290 0.0000
0.0000 0.0000 4.2801
Si Sb P Ru
1 2 1 1
direct
0.0000 0.0000 0.0000 Si
0.0000 0.5000 0.0000 Sb
0.5000 0.0000 0.0000 Sb
0.0000 0.0000 0.5000 P
0.5000 0.5000 0.5000 Ru
```

Calculated values
Electronic total energy ... -4.54 eV per atom
Size of the total moment ... 1.2 μB per formula unit